Here is a relaxed structure of Er4Cd5Hg2 from Alexandria via LeMat-Bulk. Energies are from PBE-GGA.

Unit cell a=3.456 b=7.832 c=10.167 alpha=95.25 beta=90.00 gamma=90.00
Fractional coordinates of all 11 atoms:
Cd: 0.000 0.808 0.843
Cd: 0.000 0.448 0.701
Cd: 0.000 0.552 0.299
Cd: 0.000 0.500 0.000
Cd: 0.000 0.192 0.157
Er: 0.500 0.832 0.115
Er: 0.500 0.168 0.885
Er: 0.500 0.731 0.559
Er: 0.500 0.269 0.441
Hg: 0.000 0.934 0.359
Hg: 0.000 0.066 0.641

**Space group**: P2/m, No. 10
**Crystal system**: monoclinic
**DFT formation energy**: -0.28 eV/atom
**V**: 274 Å³/cell
**Calculated density**: 9.891 g cm⁻³

***

Here is a relaxed structure of Er3Cd2Hg4 from Alexandria via LeMat-Bulk. Energies are from PBE-GGA.

Unit cell a=4.944 b=5.995 c=9.172 alpha=116.62 beta=90.00 gamma=114.35
Fractional coordinates of all 9 atoms:
Hg: 0.936 0.872 0.605
Hg: 0.288 0.576 0.951
Hg: 0.712 0.424 0.049
Hg: 0.064 0.128 0.395
Er: 0.336 0.671 0.330
Er: 0.664 0.329 0.670
Er: 0.000 0.000 0.000
Cd: 0.388 0.775 0.719
Cd: 0.612 0.225 0.281

**Space group**: C2/m, No. 12
**Crystal system**: monoclinic
**DFT formation energy**: -0.36 eV/atom
**V**: 216 Å³/cell
**Calculated density**: 11.774 g cm⁻³

***

Here is a relaxed structure of ErCd2Hg6 from Alexandria via LeMat-Bulk. Energies are from PBE-GGA.

Unit cell a=4.787 b=6.549 c=7.771 alpha=83.35 beta=72.06 gamma=68.56
Fractional coordinates of all 9 atoms:
Hg: 0.330 0.841 0.500
Hg: 0.669 0.822 0.839
Hg: 0.670 0.159 0.500
Hg: 0.331 0.178 0.161
Hg: 0.992 0.177 0.840
Hg: 0.008 0.823 0.160
Cd: 0.341 0.499 0.819
Cd: 0.659 0.501 0.181
Er: 0.000 0.500 0.500

**Space group**: C2/m, No. 12
**Crystal system**: monoclinic
**DFT formation energy**: -0.12 eV/atom
**V**: 216 Å³/cell
**Calculated density**: 12.281 g cm⁻³

***

Here is a relaxed structure of ErCd3Hg6 from Alexandria via LeMat-Bulk. Energies are from PBE-GGA.

Unit cell a=4.851 b=11.153 c=10.819 alpha=117.81 beta=90.00 gamma=90.00
Fractional coordinates of all 20 atoms:
Hg: 0.750 0.185 0.493
Hg: 0.750 0.984 0.146
Hg: 0.750 0.491 0.154
Hg: 0.750 0.813 0.320
Hg: 0.250 0.509 0.846
Hg: 0.750 0.509 0.674
Hg: 0.750 0.817 0.814
Hg: 0.250 0.187 0.680
Hg: 0.250 0.491 0.326
Hg: 0.250 0.183 0.186
Hg: 0.250 0.016 0.854
Hg: 0.250 0.815 0.507
Cd: 0.750 0.645 0.499
Cd: 0.250 0.656 0.154
Cd: 0.750 0.344 0.846
Cd: 0.250 0.810 0.987
Cd: 0.250 0.355 0.501
Cd: 0.750 0.190 0.013
Er: 0.250 0.000 0.342
Er: 0.750 0.000 0.658

**Space group**: P2_1/m, No. 11
**Crystal system**: monoclinic
**DFT formation energy**: -0.09 eV/atom
**V**: 518 Å³/cell
**Calculated density**: 10.958 g cm⁻³

***

Here is a relaxed structure of ErCdHg4 from Alexandria via LeMat-Bulk. Energies are from PBE-GGA.

Unit cell a=3.624 b=4.942 c=9.682 alpha=79.60 beta=79.21 gamma=68.49
Fractional coordinates of all 6 atoms:
Er: 0.000 0.000 0.000
Hg: 0.151 0.036 0.662
Hg: 0.849 0.964 0.338
Hg: 0.352 0.461 0.835
Hg: 0.648 0.539 0.165
Cd: 0.500 0.500 0.500

**Space group**: C2/m, No. 12
**Crystal system**: monoclinic
**DFT formation energy**: -0.11 eV/atom
**V**: 157 Å³/cell
**Calculated density**: 11.424 g cm⁻³

***

Here is a relaxed structure of ErCd8Hg2 from Alexandria via LeMat-Bulk. Energies are from PBE-GGA.

Unit cell a=5.001 b=8.070 c=8.457 alpha=61.50 beta=78.79 gamma=65.95
Fractional coordinates of all 11 atoms:
Cd: 0.307 0.409 0.000
Cd: 0.847 0.319 0.770
Cd: 0.500 0.212 0.576
Cd: 0.693 0.591 0.000
Cd: 0.847 0.089 0.230
Cd: 0.153 0.681 0.230
Cd: 0.153 0.911 0.770
Cd: 0.500 0.788 0.424
Hg: 0.000 0.315 0.371
Hg: 0.000 0.685 0.629
Er: 0.500 0.000 0.000

**Space group**: C2/m, No. 12
**Crystal system**: monoclinic
**DFT formation energy**: 0.00 eV/atom
**V**: 274 Å³/cell
**Calculated density**: 8.897 g cm⁻³

***

Here is a relaxed structure of ErCdHg4 from Alexandria via LeMat-Bulk. Energies are from PBE-GGA.

Unit cell a=6.181 b=8.492 c=6.517 alpha=90.00 beta=121.65 gamma=90.00
Fractional coordinates of all 12 atoms:
Cd: 0.447 0.500 0.390
Cd: 0.888 0.000 0.610
Hg: 0.920 0.670 0.372
Hg: 0.920 0.330 0.881
Hg: 0.920 0.330 0.372
Hg: 0.414 0.170 0.628
Hg: 0.414 0.830 0.628
Hg: 0.414 0.170 0.119
Hg: 0.414 0.830 0.119
Hg: 0.920 0.670 0.881
Er: 0.904 0.000 0.118
Er: 0.430 0.500 0.882

**Space group**: P2_1/m, No. 11
**Crystal system**: monoclinic
**DFT formation energy**: -0.16 eV/atom
**V**: 291 Å³/cell
**Calculated density**: 12.341 g cm⁻³

***

Here is a relaxed structure of Er3CdHg2 from Alexandria via LeMat-Bulk. Energies are from PBE-GGA.

Unit cell a=5.216 b=5.216 c=12.846 alpha=90.00 beta=90.00 gamma=120.00
Fractional coordinates of all 12 atoms:
Cd: 0.667 0.333 0.332
Cd: 0.333 0.667 0.668
Er: 0.333 0.667 0.418
Er: 0.667 0.333 0.582
Er: 0.000 0.000 0.752
Er: 0.667 0.333 0.081
Er: 0.333 0.667 0.919
Er: 0.000 0.000 0.248
Hg: 0.667 0.333 0.827
Hg: 0.000 0.000 0.500
Hg: 0.000 0.000 0.000
Hg: 0.333 0.667 0.173

**Space group**: P-3m1, No. 164
**Crystal system**: trigonal
**DFT formation energy**: -0.42 eV/atom
**V**: 303 Å³/cell
**Calculated density**: 11.141 g cm⁻³